VASP calculation (PBE) on a geometry-optimized Cs2TaBeBr6 structure.

Values from the calculation:
The symmetry is I4/mmm. The value obtained for the density of states at the Fermi level is 0.598 states/eV/atom. The calculation puts the total energy at -3.58 eV per atom.

abc: 7.5397 7.5397 7.5618
angles: 60.10 60.10 90.00
With the nearest neighbours (Å) after each atom.
Fractional positions:
Br (0.7453, 0.2547, 0.0000)  1 Be 2.62, 1 Ta 2.72
Br (0.7453, 0.7453, 0.0000)  1 Be 2.62, 1 Ta 2.72
Br (0.2547, 0.2547, 0.0000)  1 Be 2.62, 1 Ta 2.72
Br (0.2525, 0.2525, 0.4951)  1 Be 2.66, 1 Ta 2.71
Br (0.7475, 0.7475, 0.5049)  1 Be 2.66, 1 Ta 2.71
Br (0.2547, 0.7453, 0.0000)  1 Be 2.62, 1 Ta 2.72
Ta (0.0000, 0.0000, 0.0000)  6 Br 2.71-2.72
Be (0.5000, 0.5000, 0.0000)  6 Br 2.62-2.66
Cs (0.7500, 0.2500, 0.5000)  12 Br 3.77-3.78
Cs (0.2500, 0.7500, 0.5000)  12 Br 3.77-3.78

---

VASP calculation (PBE) on a geometry-optimized SrBiAu structure.

Values from the calculation:
The symmetry is R3m. The value obtained for the density of states at the Fermi level is 0.037 states/eV/atom. The energy of formation is -0.7003 eV per atom. The calculation puts the total energy at -3.65 eV per atom.

abc: 4.9094 4.9101 9.5085
angles: 89.99 75.04 120.01
With the nearest neighbours (Å) after each atom.
Fractional positions:
Sr (0.3921, 0.4165, 0.9463)  3 Au 3.21, 3 Bi 3.54
Sr (0.0653, 0.2529, 0.4357)  4 Au 3.13-3.44
Bi (0.5700, 0.0053, 0.1792)  3 Au 2.86
Bi (0.2242, 0.8326, 0.6980)  3 Au 2.93
Au (0.8756, 0.6581, 0.2206)  3 Bi 2.86
Au (0.8358, 0.1384, 0.7808)  3 Bi 2.93, 4 Sr 3.13-3.21